VASP calculation (PBE) on an optimized crystal structure of ZnCrCu.

The final energy comes out at -58.0 eV for the cell shown. The total magnetization comes out at 0.00 Bohr magnetons per cell. The calculation puts the formation energy from the elements at 0.49 eV/f.u.

It has space group Fmm2 (No. 42), with a = 3.525 Å, b = 3.540 Å, c = 11.931 Å, α = 90.00°, β = 90.00° and γ = 90.00°. The asymmetric unit holds Zn at (0.000, 0.000, 0.000), Cr at (0.000, 0.000, 0.330) and Cu at (0.000, 0.000, 0.668).